No. 1
## Y3Ni7Pd2 (GGA-PBE)

Data for Y3Ni7Pd2 after structural relaxation.

```
12
Lattice="4.820 0.000 1.509 2.174 4.302 1.509 -0.129 -0.080 8.868" Properties=species:S:1:pos:R:3 pbc="T T T"
Y 5.964 3.668 6.309
Y 0.901 0.554 5.576
Y 0.000 0.000 0.000
Ni 4.011 2.467 8.333
Ni 3.432 2.111 5.942
Ni 1.594 2.467 7.576
Ni 2.854 1.755 3.552
Ni 3.944 3.912 4.309
Ni 2.921 0.310 7.576
Ni 5.270 1.755 4.309
Pd 2.328 1.432 1.016
Pd 4.536 2.790 10.869
```

- calculated formation energy (eV/atom) = -0.463

No. 2
## Rb3Li2F7 (GGA-PBE)

Data for Rb3Li2F7 after structural relaxation.

```
12
Lattice="4.076 0.000 -0.766 -0.144 4.073 -0.766 0.063 0.065 11.562" Properties=species:S:1:pos:R:3 pbc="T T T"
Rb 1.966 2.037 -0.766
Rb 2.704 2.801 3.161
Rb 1.291 1.337 6.869
F 3.687 1.708 8.392
F 0.000 0.000 0.000
F 2.418 0.394 1.639
F 0.308 2.430 1.639
F 3.230 3.346 5.960
F 1.577 3.745 8.392
F 0.765 0.792 4.070
Li 3.615 3.745 8.009
Li 0.380 0.394 2.022
```

- uncorrected energy (hartree per atom) = -0.1457

No. 3
## La2ScTiTl (GGA-PBE)

Data for La2ScTiTl after structural relaxation.

```
5
Lattice="5.336 0.000 0.000 0.000 5.489 0.000 0.000 0.000 5.336" Properties=species:S:1:pos:R:3 pbc="T T T"
Tl 0.000 2.745 0.000
Sc 2.668 2.745 2.668
La 0.000 0.000 2.668
La 2.668 0.000 0.000
Ti 0.000 0.000 0.000
```

- calculated formation energy (eV/atom) = 0.459

No. 4
## TlNiC3 (GGA-PBE)

Data for TlNiC3 after structural relaxation.

```
5
Lattice="-0.775 3.766 0.839 -3.636 -0.427 -1.445 -1.292 -1.060 3.563" Properties=species:S:1:pos:R:3 pbc="T T T"
Ni 0.000 0.000 0.000
C -0.646 -0.530 1.782
C -1.818 -0.213 -0.723
C -0.388 1.883 0.419
Tl -2.851 1.140 1.478
```

- calculated formation energy (eV/atom) = 2.339
- relative energy among the computed polymorphs (eV per formula unit) = 0.00

No. 5
## Dy7In2Au2 (GGA-PBE)

Data for Dy7In2Au2 after structural relaxation.

```
11
Lattice="-3.135 5.311 -3.211 2.944 -2.019 -6.212 -4.329 -5.433 -0.287" Properties=species:S:1:pos:R:3 pbc="T T T"
Dy -1.529 -1.570 -6.398
Dy 0.000 0.000 0.000
Dy -3.725 -4.265 -6.477
Dy -0.796 2.123 -3.233
Dy -2.991 -0.572 -3.312
Dy -4.529 2.062 -4.982
Dy 0.008 -4.203 -4.728
Au -3.981 -2.300 -1.140
Au -0.539 0.158 -8.570
In -4.695 -1.111 -5.996
In 0.174 -1.031 -3.714
```

- calculated formation energy (eV/atom) = -0.305

No. 6
## ScHg2Au2 (GGA-PBE)

Data for ScHg2Au2 after structural relaxation.

```
5
Lattice="3.938 0.000 0.000 0.000 3.938 0.000 1.969 1.969 7.124" Properties=species:S:1:pos:R:3 pbc="T T T"
Au 1.969 3.938 3.562
Au 3.938 1.969 3.562
Hg 1.969 1.969 1.429
Hg 3.938 3.938 5.695
Sc 0.000 0.000 0.000
```

- calculated formation energy (eV/atom) = -0.057
- relative energy among the computed polymorphs (eV per formula unit) = 0.53

No. 7
## Y6Cu2Pt (GGA-PBE)

Data for Y6Cu2Pt after structural relaxation.

```
18
Lattice="-4.016 -7.263 1.003 6.779 -1.187 -4.746 2.359 2.979 7.446" Properties=species:S:1:pos:R:3 pbc="T T T"
Y 1.743 -6.979 -1.268
Y 0.436 -2.981 0.503
Y 3.103 -5.136 1.458
Y -1.386 -6.017 0.131
Y 6.971 -1.315 0.700
Y 4.686 -2.491 3.200
Y 1.307 -3.537 3.936
Y -1.849 -4.156 3.004
Y 6.508 0.546 3.572
Y 3.815 -1.934 -0.233
Y 3.379 1.508 4.971
Y 2.018 -0.335 2.246
Cu -1.070 -2.766 5.456
Cu -0.587 -1.518 2.994
Cu 2.483 -4.009 -1.546
Cu 2.639 -1.462 5.249
Pt 0.553 -6.367 2.353
Pt -1.657 -4.284 8.449
```

- calculated formation energy (eV/atom) = -0.386

No. 8
## La3ZnIr (GGA-PBE)

Data for La3ZnIr after structural relaxation.

```
5
Lattice="-5.290 1.620 -0.932 -1.145 -5.021 -2.227 -1.477 -1.910 5.065" Properties=species:S:1:pos:R:3 pbc="T T T"
La -2.645 0.810 -0.466
La -0.573 -2.510 -1.114
La -0.738 -0.955 2.532
Zn -3.956 -2.655 0.953
Ir 0.000 0.000 0.000
```

- calculated formation energy (eV/atom) = -0.238
- relative energy among the computed polymorphs (eV per formula unit) = 1.03

No. 9
## ZrAs3Br (GGA-PBE)

Data for ZrAs3Br after structural relaxation.

```
5
Lattice="-2.494 -1.794 -3.876 4.267 -1.230 -2.177 -0.175 -4.442 2.168" Properties=species:S:1:pos:R:3 pbc="T T T"
As -0.087 -2.221 1.084
As -1.247 -0.897 -1.938
As 2.133 -0.615 -1.088
Br 0.000 0.000 0.000
Zr 0.799 -3.733 -1.942
```

- relative energy among the computed polymorphs (eV per formula unit) = 3.57

No. 10
## MgInCu2H (GGA-PBE)

Data for MgInCu2H after structural relaxation.

```
5
Lattice="-4.861 -0.590 -0.509 0.373 -3.224 0.180 -0.538 0.210 4.889" Properties=species:S:1:pos:R:3 pbc="T T T"
Cu -2.431 -0.295 -0.255
Cu -0.269 0.105 2.445
In -2.513 -1.802 2.280
H 0.186 -1.612 0.090
Mg 0.000 0.000 0.000
```

- uncorrected energy (hartree per atom) = -0.0985

No. 11
## KPaRuO6 (GGA-PBE)

Data for KPaRuO6 after structural relaxation.

```
18
Lattice="-1.132 2.665 7.344 2.493 -6.340 2.685 4.378 3.848 -4.964" Properties=species:S:1:pos:R:3 pbc="T T T"
O 3.548 -4.088 2.030
O 0.780 1.593 2.300
O 3.924 1.285 -1.346
O 0.384 2.526 4.870
O 5.333 0.287 0.718
O 2.190 4.261 3.035
O 5.355 -2.353 0.195
O 1.814 -1.113 6.411
O 2.211 -2.045 3.841
O 4.959 -1.420 2.765
O 3.528 2.218 1.224
O 0.406 -0.114 4.347
K 1.766 -1.131 0.683
K 3.973 1.304 4.382
Pa 2.189 1.924 -2.482
Pa 1.623 3.256 1.190
Ru -0.566 1.333 3.672
Ru 0.680 -1.837 5.015
```

- uncorrected energy (hartree per atom) = -0.2761

No. 12
## NbTl3Pb (GGA-PBE)

Data for NbTl3Pb after structural relaxation.

```
5
Lattice="5.506 0.000 0.000 0.000 5.506 0.000 0.000 0.000 5.506" Properties=species:S:1:pos:R:3 pbc="T T T"
Nb 0.000 0.000 0.000
Tl 0.000 2.753 0.000
Tl 0.000 0.000 2.753
Tl 2.753 0.000 0.000
Pb 2.753 2.753 2.753
```

- calculated formation energy (eV/atom) = 0.594
- relative energy among the computed polymorphs (eV per formula unit) = 0.00